Material: InReRu2
Method: DFT, GGA-PBE
State: relaxed

```
InReRu2
1.0
1.424 0.822 8.960
-1.424 0.822 8.960
0.000 -1.644 8.960
In Re Ru
1 1 2
Direct
0.000 0.000 0.000
0.500 0.500 0.500
0.245 0.245 0.245
0.755 0.755 0.755
```

Calculated values
Energy (eV per cell): -32.94
Density of states at the Fermi level (states/eV/cell): 3.6

=====

Material: Ga3IrAu
Method: DFT, GGA-PBE
State: relaxed

```
Ga3IrAu
1.0
0.000 4.247 7.499
2.773 0.000 7.499
2.773 4.247 0.000
Ga Ir Au
6 2 2
Direct
0.152 0.651 0.349
0.249 0.249 0.751
0.349 0.848 0.152
0.651 0.152 0.848
0.751 0.751 0.249
0.848 0.349 0.651
0.250 0.250 0.250
0.750 0.750 0.750
0.250 0.750 0.750
0.750 0.250 0.250
```

Calculated values
Energy (eV per cell): -44.68
Density of states at the Fermi level (states/eV/cell): 4.8

=====

Values for E_form, eV/f.u., ordered as above
0.80; -1.12